1.
Density functional theory data (GGA-PBE) for a relaxed structure of SnRuW.

## Properties
formation energy from the elements = 0.210 eV per atom
density of states at the Fermi level = 4.81 states/eV per cell

Cell and atoms, written as POSCAR:
```
SnRuW
1.0
-2.4804 -0.9170 -1.5940
-1.5645 -2.0171 3.5948
-3.6790 6.4466 2.0161
Ru W Sn
2 2 2
direct
0.0000 0.5000 0.1738
0.0000 0.0000 0.9478
0.5000 0.5000 0.4590
0.5000 0.0000 0.2319
0.5000 0.5000 0.8596
0.0000 0.0000 0.5789
```



2.
Density functional theory data (GGA-PBE) for a relaxed structure of SnRuW.

## Properties
formation energy from the elements = 0.168 eV per atom
density of states at the Fermi level = 8.99 states/eV per cell

Cell and atoms, written as POSCAR:
```
SnRuW
1.0
7.3810 0.0000 -0.0013
0.0000 3.0959 0.0000
-1.6387 0.0000 9.3169
Sn W Ru
4 4 4
direct
0.5870 0.5000 0.3898
0.5870 0.0000 0.8898
0.8427 0.0000 0.2054
0.8427 0.5000 0.7054
0.2578 0.5000 0.9207
0.4303 0.0000 0.1449
0.4303 0.5000 0.6449
0.2578 0.0000 0.4207
0.1557 0.0000 0.6880
0.9776 0.5000 0.4483
0.9776 0.0000 0.9483
0.1557 0.5000 0.1880
```